{"formula": "MoPtBr2", "functional": "PBE", "state": "optimized geometry", "space_group": "P2/m, No. 10", "raw_formation_energy_mev_per_atom": 754.9, "lattice": [[4.5006, 0.0000, 0.0000], [0.0000, 3.1022, -0.0095], [0.0000, -0.3998, 5.4613]], "species": ["Pt", "Mo", "Br", "Br"], "frac_coords": [[0.5000, 0.7500, 0.7500], [0.5000, 0.2500, 0.2500], [0.0000, 0.4531, 0.4943], [0.0000, 0.0469, 0.0057]]}